Entry 1:
# LiB2W

LiB2W after structural relaxation (PBE, Alexandria via LeMat-Bulk).

Results
DFT total energy	-6.48	eV/atom
ΔE to the lowest computed polymorph	0.00	eV/f.u.
N(E_F)	7.72	states/eV/cell
energy of formation	576	meV per atom

The structure in CIF format:
```
data_LiB2W
_chemical_formula_sum 'Li4 B8 W4'
_symmetry_space_group_name_H-M 'F m -3 m'
_symmetry_Int_Tables_number 225
_symmetry_space_group_name_Hall '-F 4 2 3'
_cell_length_a 5.377
_cell_length_b 5.377
_cell_length_c 5.377
_cell_angle_alpha 90.00
_cell_angle_beta 90.00
_cell_angle_gamma 90.00
loop_
_atom_site_label
_atom_site_fract_x
_atom_site_fract_y
_atom_site_fract_z
_atom_site_occupancy
Li1 0.000 0.000 0.000 1
B1 0.250 0.250 0.250 1
W1 0.000 0.000 0.500 1
```

---

Entry 2:
# Li2B2W

Li2B2W after structural relaxation (PBE, Alexandria via LeMat-Bulk).

Results
DFT total energy	-5.50	eV/atom
ΔE to the lowest computed polymorph	2.40	eV/f.u.
N(E_F)	2.89	states/eV/cell
energy of formation	531	meV per atom

The structure in CIF format:
```
data_Li2B2W
_chemical_formula_sum 'Li4 B4 W2'
_symmetry_space_group_name_H-M 'P 4/m b m'
_symmetry_Int_Tables_number 127
_symmetry_space_group_name_Hall '-P 4 2ab'
_cell_length_a 6.311
_cell_length_b 6.311
_cell_length_c 2.628
_cell_angle_alpha 90.00
_cell_angle_beta 90.00
_cell_angle_gamma 90.00
loop_
_atom_site_label
_atom_site_fract_x
_atom_site_fract_y
_atom_site_fract_z
_atom_site_occupancy
Li1 0.123 0.377 0.000 1
B1 0.182 0.682 0.500 1
W1 0.000 0.000 0.500 1
```

---

Entry 3:
# LiB2W

LiB2W after structural relaxation (PBE, Alexandria via LeMat-Bulk).

Results
DFT total energy	-6.44	eV/atom
ΔE to the lowest computed polymorph	0.16	eV/f.u.
N(E_F)	8.61	states/eV/cell
energy of formation	616	meV per atom

The structure in CIF format:
```
data_LiB2W
_chemical_formula_sum 'Li4 B8 W4'
_symmetry_space_group_name_H-M 'I -4 2 d'
_symmetry_Int_Tables_number 122
_symmetry_space_group_name_Hall 'I -4 2bw'
_cell_length_a 5.676
_cell_length_b 5.676
_cell_length_c 4.996
_cell_angle_alpha 90.00
_cell_angle_beta 90.00
_cell_angle_gamma 90.00
loop_
_atom_site_label
_atom_site_fract_x
_atom_site_fract_y
_atom_site_fract_z
_atom_site_occupancy
Li1 0.000 0.000 0.000 1
B1 0.226 0.250 0.125 1
W1 0.000 0.000 0.500 1
```

---

Entry 4:
# Li2B2W

Li2B2W after structural relaxation (PBE, Alexandria via LeMat-Bulk).

Results
DFT total energy	-5.98	eV/atom
ΔE to the lowest computed polymorph	0.00	eV/f.u.
N(E_F)	5.00	states/eV/cell
energy of formation	52	meV per atom

The structure in CIF format:
```
data_Li2B2W
_chemical_formula_sum 'Li4 B4 W2'
_symmetry_space_group_name_H-M 'I 4/m m m'
_symmetry_Int_Tables_number 139
_symmetry_space_group_name_Hall '-I 4 2'
_cell_length_a 3.110
_cell_length_b 3.110
_cell_length_c 9.969
_cell_angle_alpha 90.00
_cell_angle_beta 90.00
_cell_angle_gamma 90.00
loop_
_atom_site_label
_atom_site_fract_x
_atom_site_fract_y
_atom_site_fract_z
_atom_site_occupancy
Li1 0.000 0.500 0.250 1
B1 0.000 0.000 0.086 1
W1 0.000 0.000 0.500 1
```

---

Q: What is the energy of formation in the third record?
A: 616 meV per atom

---

Q: Which value of ΔE to the lowest computed polymorph does entry 1 give?
A: 0.00 eV/f.u.